No. 1
Density functional theory data (GGA-PBE) for a relaxed NaMnInBr6 crystal.

## Properties
**Calculated volume**: 544.5 Å³ per cell
**E_form (uncorrected)**: -0.913 eV/atom

a b c (Å): 6.671 6.671 12.235
angles (deg): 90.00 90.00 90.00
Last column: magnetic moment on the atom in μB.
Sites, in units of the cell vectors:
Na 0.500 0.500 0.499  0.00
Na 0.000 0.000 0.999  0.00
Mn 0.500 0.500 0.170  4.38
Mn 0.000 0.000 0.670  4.38
In 0.500 0.500 0.831  0.03
In 0.000 0.000 0.331  0.03
Br 0.184 0.816 0.503  0.04
Br 0.816 0.184 0.503  0.04
Br 0.316 0.316 0.003  0.04
Br 0.684 0.684 0.003  0.04
Br 0.204 0.796 0.176  0.03
Br 0.796 0.204 0.176  0.03
Br 0.296 0.296 0.676  0.03
Br 0.704 0.704 0.676  0.03
Br 0.798 0.202 0.821  0.03
Br 0.202 0.798 0.821  0.03
Br 0.702 0.702 0.321  0.03
Br 0.298 0.298 0.321  0.03

No. 2
Density functional theory data (GGA-PBE) for a relaxed BaCa2Pt crystal.

## Properties
**Calculated volume**: 149.2 Å³ per cell
**Calculated formation energy**: -473 meV per atom
**Fermi-level density of states**: 3.2 states/eV/cell
**Energy relative to the lowest polymorph listed for this composition**: 90 meV/atom

a b c (Å): 3.976 4.350 8.898
angles (deg): 75.83 90.00 90.00
Sites, in units of the cell vectors:
Ca 0.000 0.905 0.066
Ca 0.500 0.268 0.338
Ba 0.500 0.588 0.699
Pt 0.000 0.738 0.398

No. 3
Density functional theory data (GGA-PBE) for a relaxed RbZnS2Cl crystal.

## Properties
**Calculated volume**: 127.2 Å³ per cell
**E_form (uncorrected)**: -0.506 eV/atom
**Fermi-level density of states**: 6.0 states/eV/cell
**Energy relative to the lowest polymorph listed for this composition**: 0 meV/atom

a b c (Å): 4.669 4.669 5.834
angles (deg): 90.00 90.00 90.00
Last column: magnetic moment on the atom in μB.
Sites, in units of the cell vectors:
Zn 0.000 0.000 0.000  0.00
S 0.000 0.500 0.000  0.16
S 0.500 0.000 0.000  0.16
Rb 0.500 0.500 0.500  0.00
Cl 0.000 0.000 0.500  0.06

No. 4
Density functional theory data (GGA-PBE) for a relaxed UMn2Pt crystal.

## Properties
**Calculated volume**: 62.4 Å³ per cell
**Calculated formation energy**: -48 meV per atom
**Fermi-level density of states**: 6.1 states/eV/cell
**Energy relative to the lowest polymorph listed for this composition**: 197 meV/atom

a b c (Å): 4.453 4.453 4.453
angles (deg): 60.00 60.00 60.00
Last column: magnetic moment on the atom in μB.
Sites, in units of the cell vectors:
Mn 0.250 0.250 0.250  2.43
Mn 0.750 0.750 0.750  2.43
U 0.000 0.000 0.000  -1.48
Pt 0.500 0.500 0.500  0.22

No. 5
Density functional theory data (GGA-PBE) for a relaxed Y3NbGe crystal.

## Properties
**Calculated volume**: 158.2 Å³ per cell
**Calculated formation energy**: 417 meV per atom
**Fermi-level density of states**: 5.3 states/eV/cell
**Energy relative to the lowest polymorph listed for this composition**: 0 meV/atom

a b c (Å): 5.408 5.408 5.408
angles (deg): 90.00 90.00 90.00
Last column: magnetic moment on the atom in μB.
Sites, in units of the cell vectors:
Y 0.000 0.500 0.000  0.10
Y 0.000 0.000 0.500  0.13
Y 0.500 0.000 0.000  0.06
Nb 0.500 0.500 0.500  2.24
Ge 0.000 0.000 0.000  0.05

No. 6
Density functional theory data (GGA-PBE) for a relaxed BaCaCu2 crystal.

## Properties
**Calculated volume**: 125.7 Å³ per cell
**Calculated formation energy**: 14 meV per atom
**Fermi-level density of states**: 1.8 states/eV/cell
**Energy relative to the lowest polymorph listed for this composition**: 69 meV/atom

a b c (Å): 7.664 7.664 7.664
angles (deg): 148.41 147.66 45.83
Sites, in units of the cell vectors:
Ca 0.263 0.763 0.500
Ba 0.511 0.511 0.000
Cu 0.908 0.908 0.000
Cu 0.818 0.318 0.500

no.,energy (eV per formula unit)
1,-31.486
2,-13.860
3,-14.875
4,-35.859
5,-31.994
6,-12.062